Entry A
The following is a DFT calculation (PBE) of a relaxed structure of TbPaCo2.

abc: 7.2489 4.4661 9.7039
angles: 90.00 90.00 90.00
With the nearest neighbours (Å) after each atom.
Element x y z (fractional)
1 Tb 0.0916 0.2500 0.1234  5 Co 2.87-3.05
2 Tb 0.4084 0.7500 0.6234  5 Co 2.87-3.05
3 Tb 0.5916 0.2500 0.3766  5 Co 2.87-3.05
4 Tb 0.9084 0.7500 0.8766  5 Co 2.87-3.05
5 Pa 0.0523 0.2500 0.6276  2 Co 2.25-2.26
6 Pa 0.4477 0.7500 0.1276  2 Co 2.25-2.26
7 Pa 0.5523 0.2500 0.8724  2 Co 2.25-2.26
8 Pa 0.9477 0.7500 0.3724  2 Co 2.25-2.26
9 Co 0.1892 0.2500 0.8366  1 Pa 2.26, 2 Co 2.53
10 Co 0.1914 0.2500 0.4200  1 Pa 2.25
11 Co 0.3086 0.7500 0.9200  1 Pa 2.25
12 Co 0.3108 0.7500 0.3366  1 Pa 2.26, 2 Co 2.53
13 Co 0.6892 0.2500 0.6634  1 Pa 2.26, 2 Co 2.53
14 Co 0.6914 0.2500 0.0800  1 Pa 2.25
15 Co 0.8086 0.7500 0.5800  1 Pa 2.25
16 Co 0.8108 0.7500 0.1634  1 Pa 2.26, 2 Co 2.53



Entry B
The following is a DFT calculation (PBE) of a relaxed structure of TbPaCo2.

abc: 4.7336 4.7336 3.2876
angles: 90.00 90.00 90.00
With the nearest neighbours (Å) after each atom.
Element x y z (fractional)
1 Tb 0.0000 0.0000 0.0000  8 Co 2.88
2 Pa 0.5000 0.5000 0.0000  8 Co 2.88
3 Co 0.0000 0.5000 0.5000  4 Tb 2.88, 4 Pa 2.88
4 Co 0.5000 0.0000 0.5000  4 Tb 2.88, 4 Pa 2.88



It turns out entry A is the most stable, with the second structure 15.3 kJ/mol of atoms higher.



Entry A
The following is a DFT calculation (PBE) of a relaxed structure of ThPaCo2.

abc: 5.5765 4.0081 7.2989
angles: 90.00 96.70 90.00
With the nearest neighbours (Å) after each atom.
Element x y z (fractional)
1 Th 0.2252 0.2500 0.3395  6 Co 2.79-2.95
2 Th 0.7748 0.7500 0.6605  6 Co 2.79-2.95
3 Pa 0.2946 0.2500 0.8488  5 Co 2.56-2.83
4 Pa 0.7054 0.7500 0.1512  5 Co 2.56-2.83
5 Co 0.1760 0.7500 0.0406  3 Pa 2.57-2.83, 2 Co 2.82
6 Co 0.2715 0.7500 0.6302  2 Pa 2.56, 2 Th 2.79-2.80
7 Co 0.7285 0.2500 0.3698  2 Pa 2.56, 2 Th 2.79-2.80
8 Co 0.8240 0.2500 0.9594  3 Pa 2.57-2.83, 2 Co 2.82



Entry B
The following is a DFT calculation (PBE) of a relaxed structure of ThPaCo2.

abc: 6.7614 6.7614 6.7614
angles: 33.04 33.04 33.04
With the nearest neighbours (Å) after each atom.
Element x y z (fractional)
1 Th 0.0000 0.0000 0.0000  6 Co 2.81
2 Pa 0.5000 0.5000 0.5000  6 Co 2.66
3 Co 0.2435 0.2435 0.2435  3 Pa 2.66, 3 Th 2.81
4 Co 0.7565 0.7565 0.7565  3 Pa 2.66, 3 Th 2.81



Entry C
The following is a DFT calculation (PBE) of a relaxed structure of ThPaCo2.

abc: 7.0416 7.0416 7.0416
angles: 31.12 31.12 31.12
With the nearest neighbours (Å) after each atom.
Element x y z (fractional)
1 Th 0.0000 0.0000 0.0000  6 Co 2.81-2.88
2 Pa 0.8275 0.8275 0.8275  6 Co 2.63-2.70
3 Co 0.2398 0.2398 0.2398  3 Pa 2.70, 3 Th 2.88
4 Co 0.4212 0.4212 0.4212  3 Pa 2.63, 3 Th 2.81



It turns out entry A is the most stable, with the second structure 2.9 kJ/mol of atoms higher.



Entry A
The following is a DFT calculation (PBE) of a relaxed structure of PaTi2Co.

abc: 6.2726 8.3745 5.4375
angles: 90.00 90.00 90.00
With the nearest neighbours (Å) after each atom.
Element x y z (fractional)
1 Pa 0.0452 0.2500 0.1436  2 Co 2.41-2.57
2 Pa 0.4548 0.7500 0.6436  2 Co 2.41-2.57
3 Pa 0.5452 0.2500 0.3564  2 Co 2.41-2.57
4 Pa 0.9548 0.7500 0.8564  2 Co 2.41-2.57
5 Ti 0.1818 0.0574 0.6423  2 Co 2.51-2.55
6 Ti 0.1818 0.4426 0.6423  2 Co 2.51-2.55
7 Ti 0.3182 0.5574 0.1423  2 Co 2.51-2.55
8 Ti 0.3182 0.9426 0.1423  2 Co 2.51-2.55
9 Ti 0.6818 0.0574 0.8577  2 Co 2.51-2.55
10 Ti 0.6818 0.4426 0.8577  2 Co 2.51-2.55
11 Ti 0.8182 0.5574 0.3577  2 Co 2.51-2.55
12 Ti 0.8182 0.9426 0.3577  2 Co 2.51-2.55
13 Co 0.1200 0.7500 0.4246  2 Pa 2.41-2.57, 4 Ti 2.51-2.55
14 Co 0.3800 0.2500 0.9246  2 Pa 2.41-2.57, 4 Ti 2.51-2.55
15 Co 0.6200 0.7500 0.0754  2 Pa 2.41-2.57, 4 Ti 2.51-2.55
16 Co 0.8800 0.2500 0.5754  2 Pa 2.41-2.57, 4 Ti 2.51-2.55



Entry B
The following is a DFT calculation (PBE) of a relaxed structure of PaTi2Co.

abc: 3.0010 3.0010 7.6122
angles: 90.00 90.00 90.00
With the nearest neighbours (Å) after each atom.
Element x y z (fractional)
1 Pa 0.0000 0.0000 0.0000  4 Pa 3.00, 8 Ti 3.16
2 Ti 0.5000 0.5000 0.3070  4 Co 2.58
3 Ti 0.5000 0.5000 0.6930  4 Co 2.58
4 Co 0.0000 0.0000 0.5000  8 Ti 2.58



It turns out entry A is the most stable, with the second structure 5.2 kJ/mol of atoms higher.



Entry A
The following is a DFT calculation (PBE) of a relaxed structure of PaTiCo2.

abc: 4.4302 4.4302 3.1994
angles: 90.00 90.00 90.00
With the nearest neighbours (Å) after each atom.
Element x y z (fractional)
1 Pa 0.0000 0.0000 0.0000  8 Co 2.73
2 Ti 0.5000 0.5000 0.0000  8 Co 2.73
3 Co 0.0000 0.5000 0.5000  4 Pa 2.73, 4 Ti 2.73
4 Co 0.5000 0.0000 0.5000  4 Pa 2.73, 4 Ti 2.73



Entry B
The following is a DFT calculation (PBE) of a relaxed structure of PaTiCo2.

abc: 2.9874 2.9874 6.8225
angles: 90.00 90.00 90.00
With the nearest neighbours (Å) after each atom.
Element x y z (fractional)
1 Pa 0.0000 0.0000 0.0000  8 Co 2.92, 4 Pa 2.99
2 Ti 0.0000 0.0000 0.5000  8 Co 2.53
3 Co 0.5000 0.5000 0.2960  4 Ti 2.53, 1 Co 2.78
4 Co 0.5000 0.5000 0.7040  4 Ti 2.53, 1 Co 2.78



Entry C
The following is a DFT calculation (PBE) of a relaxed structure of PaTiCo2.

abc: 4.2222 4.2222 4.8515
angles: 115.46 115.46 60.19
With the nearest neighbours (Å) after each atom.
Element x y z (fractional)
1 Pa 0.0000 0.0000 0.0000  8 Co 2.70-2.88
2 Ti 0.5000 0.5000 0.5000  6 Co 2.51
3 Co 0.2131 0.2131 0.6409  3 Ti 2.51, 1 Pa 2.70, 3 Co 2.71-2.72
4 Co 0.7869 0.7869 0.3591  3 Ti 2.51, 1 Pa 2.70, 3 Co 2.71-2.72



It turns out entry B is the most stable, with the second structure 1.8 kJ/mol of atoms higher.



Entry A
The following is a DFT calculation (PBE) of a relaxed structure of Pa2TiCo9.

abc: 8.5371 8.5371 8.5371
angles: 32.40 32.40 32.40
With the nearest neighbours (Å) after each atom.
Element x y z (fractional)
1 Pa 0.1357 0.1357 0.1357  9 Co 2.75-2.85
2 Pa 0.8643 0.8643 0.8643  9 Co 2.75-2.85
3 Ti 0.0000 0.0000 0.0000  18 Co 2.75-3.06
4 Co 0.0784 0.5800 0.5800  7 Co 2.36-2.53
5 Co 0.3332 0.3332 0.3332  6 Co 2.36-2.37
6 Co 0.4200 0.4200 0.9216  7 Co 2.36-2.53
7 Co 0.4200 0.9217 0.4200  7 Co 2.36-2.53
8 Co 0.5000 0.5000 0.5000  6 Co 2.53
9 Co 0.5800 0.0784 0.5800  7 Co 2.36-2.53
10 Co 0.5800 0.5800 0.0784  7 Co 2.36-2.53
11 Co 0.6668 0.6668 0.6668  6 Co 2.36-2.37
12 Co 0.9216 0.4200 0.4200  7 Co 2.36-2.53



Entry B
The following is a DFT calculation (PBE) of a relaxed structure of Pa2TiCo9.

abc: 3.7725 3.7725 11.0446
angles: 90.00 90.00 90.00
With the nearest neighbours (Å) after each atom.
Element x y z (fractional)
1 Pa 0.0000 0.0000 0.1741  12 Co 2.67-2.69
2 Pa 0.0000 0.0000 0.8259  12 Co 2.67-2.69
3 Ti 0.0000 0.0000 0.5000  12 Co 2.52-2.67
4 Co 0.0000 0.5000 0.0000  8 Co 2.67-2.69, 4 Pa 2.69
5 Co 0.0000 0.5000 0.3483  8 Co 2.52-2.69, 2 Ti 2.52, 2 Pa 2.69
6 Co 0.0000 0.5000 0.6517  8 Co 2.52-2.69, 2 Ti 2.52, 2 Pa 2.69
7 Co 0.5000 0.0000 0.0000  8 Co 2.67-2.69, 4 Pa 2.69
8 Co 0.5000 0.0000 0.3483  8 Co 2.52-2.69, 2 Ti 2.52, 2 Pa 2.69
9 Co 0.5000 0.0000 0.6517  8 Co 2.52-2.69, 2 Ti 2.52, 2 Pa 2.69
10 Co 0.5000 0.5000 0.1740  4 Pa 2.67, 8 Co 2.69
11 Co 0.5000 0.5000 0.5000  8 Co 2.52, 4 Ti 2.67
12 Co 0.5000 0.5000 0.8260  4 Pa 2.67, 8 Co 2.69



It turns out entry B is the most stable, with the second structure 10.1 kJ/mol of atoms higher.



Entry A
The following is a DFT calculation (PBE) of a relaxed structure of Pa2TlCo.

abc: 8.9795 8.9795 8.9795
angles: 22.91 22.91 22.91
With the nearest neighbours (Å) after each atom.
Element x y z (fractional)
1 Pa 0.2294 0.2294 0.2294  3 Co 2.64
2 Pa 0.7706 0.7706 0.7706  3 Co 2.64
3 Tl 0.0000 0.0000 0.0000  6 Pa 3.41, 6 Tl 3.57
4 Co 0.5000 0.5000 0.5000  6 Pa 2.64



Entry B
The following is a DFT calculation (PBE) of a relaxed structure of Pa2TlCo.

abc: 3.1808 3.1808 8.6008
angles: 90.00 90.00 90.00
With the nearest neighbours (Å) after each atom.
Element x y z (fractional)
1 Pa 0.0000 0.0000 0.1991  4 Co 2.83
2 Pa 0.0000 0.0000 0.8009  4 Co 2.83
3 Tl 0.5000 0.5000 0.5000  4 Tl 3.18, 8 Pa 3.43
4 Co 0.5000 0.5000 0.0000  8 Pa 2.83



Entry C
The following is a DFT calculation (PBE) of a relaxed structure of Pa2TlCo.

abc: 9.3082 9.3082 9.3082
angles: 21.46 21.46 21.46
With the nearest neighbours (Å) after each atom.
Element x y z (fractional)
1 Pa 0.0000 0.0000 0.0000  3 Co 2.64
2 Pa 0.2075 0.2075 0.2075  3 Co 2.63
3 Tl 0.7690 0.7690 0.7690  6 Pa 3.43-3.50, 6 Tl 3.47
4 Co 0.6035 0.6035 0.6035  6 Pa 2.63-2.64



It turns out entry B is the most stable, with the second structure 6.3 kJ/mol of atoms higher.